This record from Alexandria via LeMat-Bulk describes a geometry-optimized Li2Be2AgPd5 structure. The functional is GGA-PBE.

electronic total energy: -43.89 eV/f.u.
energy relative to the elements: -0.38 eV/atom

Lattice parameters (Å, degrees): 9.8486 9.8486 3.0266 90.00 90.00 90.00
Last column: nearest neighbours and their distance in Å.
Atoms (fractional coordinates):
Li1 0.1757 0.3243 0.0000  3 Be 2.78-3.00, 10 Pd 2.88-3.04, 2 Li 3.03
Li2 0.3243 0.8243 0.0000  3 Be 2.78-3.00, 10 Pd 2.88-3.04, 2 Li 3.03
Li3 0.6757 0.1757 0.0000  3 Be 2.78-3.00, 10 Pd 2.88-3.04, 2 Li 3.03
Li4 0.8243 0.6757 0.0000  3 Be 2.78-3.00, 10 Pd 2.88-3.04, 2 Li 3.03
Be1 0.1246 0.6246 0.0000  6 Pd 2.23-2.30
Be2 0.3754 0.1246 0.0000  6 Pd 2.23-2.30
Be3 0.6246 0.8754 0.0000  6 Pd 2.23-2.30
Be4 0.8754 0.3754 0.0000  6 Pd 2.23-2.30
Ag1 0.0000 0.0000 0.0000  8 Pd 2.72, 2 Ag 3.03
Ag2 0.5000 0.5000 0.0000  8 Pd 2.72, 2 Ag 3.03
Pd1 0.0000 0.5000 0.5000  4 Be 2.30
Pd2 0.0701 0.7812 0.5000  2 Be 2.23
Pd3 0.2188 0.0701 0.5000  2 Be 2.23
Pd4 0.2812 0.5701 0.5000  2 Be 2.23
Pd5 0.4299 0.2812 0.5000  2 Be 2.23
Pd6 0.5000 0.0000 0.5000  4 Be 2.30
Pd7 0.5701 0.7188 0.5000  2 Be 2.23
Pd8 0.7188 0.4299 0.5000  2 Be 2.23
Pd9 0.7812 0.9299 0.5000  2 Be 2.23
Pd10 0.9299 0.2188 0.5000  2 Be 2.23